[1]
First-principles (PBE-GGA) data for a relaxed structure of K2U3IrO12, as listed in Alexandria.

- Crystal system: trigonal
- Formation energy from raw total energies: -2.5036 eV/atom
- ρ: 5.9 Mg/m³
- Symmetry: R-3m

abc: 7.5879 7.5879 7.5879
angles: 62.87 62.87 62.87
Each line ends with the local moment (μB).
Sites, in units of the cell vectors:
1 K 0.6480 0.6480 0.6480  0.00
2 K 0.3520 0.3520 0.3520  0.00
3 U 0.5000 0.0000 0.0000  0.01
4 U 0.0000 0.5000 0.0000  0.01
5 U 0.0000 0.0000 0.5000  0.01
6 Ir 0.0000 0.0000 0.0000  0.61
7 O 0.3214 0.3214 0.9448  0.01
8 O 0.9411 0.9411 0.3009  0.04
9 O 0.3009 0.9411 0.9411  0.04
10 O 0.9448 0.3214 0.3214  0.01
11 O 0.9411 0.3009 0.9411  0.04
12 O 0.3214 0.9448 0.3214  0.01
13 O 0.6786 0.6786 0.0552  0.01
14 O 0.0589 0.0589 0.6991  0.04
15 O 0.6991 0.0589 0.0589  0.04
16 O 0.0552 0.6786 0.6786  0.01
17 O 0.0589 0.6991 0.0589  0.04
18 O 0.6786 0.0552 0.6786  0.01

---

[2]
First-principles (PBE-GGA) data for a relaxed structure of Ac3Ru, as listed in Alexandria.

- Formation enthalpy at 0 K: -0.0876 eV/atom
- Crystal system: orthorhombic
- ρ: 8.1 Mg/m³
- Symmetry: Pnma

abc: 7.1899 7.9888 11.2227
angles: 90.00 90.00 90.00
Sites, in units of the cell vectors:
1 Ac 0.3528 0.5532 0.2500
2 Ac 0.8528 0.9468 0.7500
3 Ac 0.1472 0.0532 0.2500
4 Ac 0.6472 0.4468 0.7500
5 Ac 0.1649 0.3165 0.9277
6 Ac 0.6649 0.1835 0.0723
7 Ac 0.3351 0.8165 0.5723
8 Ac 0.8351 0.6835 0.4277
9 Ac 0.1649 0.3165 0.5723
10 Ac 0.6649 0.1835 0.4277
11 Ac 0.8351 0.6835 0.0723
12 Ac 0.3351 0.8165 0.9277
13 Ru 0.0000 0.0000 0.5000
14 Ru 0.5000 0.5000 0.5000
15 Ru 0.5000 0.5000 0.0000
16 Ru 0.0000 0.0000 0.0000

---

[3]
First-principles (PBE-GGA) data for a relaxed structure of Rb2Cd6Pd, as listed in Alexandria.

- Formation enthalpy at 0 K: -0.0637 eV/atom
- Crystal system: trigonal
- ρ: 6.0 Mg/m³
- Symmetry: P-3m1

abc: 6.3659 6.8863 6.8863
angles: 60.02 89.96 89.96
Sites, in units of the cell vectors:
1 Rb 0.8342 0.6664 0.6664
2 Rb 0.1658 0.3336 0.3336
3 Cd 0.3152 0.3357 0.8325
4 Cd 0.3149 0.8317 0.8317
5 Cd 0.3152 0.8325 0.3357
6 Cd 0.6848 0.6643 0.1675
7 Cd 0.6851 0.1683 0.1683
8 Cd 0.6848 0.1675 0.6643
9 Pd 0.0000 0.0000 0.0000

---

[4]
First-principles (PBE-GGA) data for a relaxed structure of CeRe7N12, as listed in Alexandria.

- Crystal system: cubic
- Formation energy from raw total energies: 0.3270 eV/atom
- ρ: 11.9 Mg/m³
- Symmetry: Im-3

abc: 6.6397 6.6397 6.6397
angles: 109.47 109.47 109.47
Each line ends with the local moment (μB).
Sites, in units of the cell vectors:
1 Ce 0.0000 0.0000 0.0000  -0.21
2 Re 0.5000 0.0000 0.5000  -1.84
3 Re 0.5000 0.5000 0.0000  -1.84
4 Re 0.0000 0.5000 0.5000  -1.84
5 Re 0.0000 0.0000 0.5000  0.01
6 Re 0.5000 0.0000 0.0000  0.01
7 Re 0.5000 0.5000 0.5000  0.01
8 Re 0.0000 0.5000 0.0000  0.01
9 N 0.3064 0.1805 0.4869  -0.01
10 N 0.3064 0.8195 0.1259  -0.01
11 N 0.6936 0.8195 0.5131  -0.01
12 N 0.6936 0.1805 0.8741  -0.01
13 N 0.4869 0.3064 0.1805  -0.01
14 N 0.8741 0.6936 0.1805  -0.01
15 N 0.5131 0.6936 0.8195  -0.01
16 N 0.1259 0.3064 0.8195  -0.01
17 N 0.8195 0.1259 0.3064  -0.01
18 N 0.1805 0.8741 0.6936  -0.01
19 N 0.1805 0.4869 0.3064  -0.01
20 N 0.8195 0.5131 0.6936  -0.01

---

[5]
First-principles (PBE-GGA) data for a relaxed structure of ScTa2, as listed in Alexandria.

- Formation enthalpy at 0 K: 0.2205 eV/atom
- Crystal system: monoclinic
- ρ: 11.5 Mg/m³
- Symmetry: C2/m

abc: 5.8953 5.8953 7.3740
angles: 78.56 78.56 28.06
Sites, in units of the cell vectors:
1 Sc 0.9663 0.9663 0.8185
2 Sc 0.0337 0.0337 0.1815
3 Ta 0.3703 0.3703 0.5056
4 Ta 0.7120 0.7120 0.8338
5 Ta 0.2880 0.2880 0.1662
6 Ta 0.6297 0.6297 0.4944

---

[6]
First-principles (PBE-GGA) data for a relaxed structure of CuRu2Br, as listed in Alexandria.

- Crystal system: cubic
- Formation energy from raw total energies: 0.9245 eV/atom
- ρ: 9.9 Mg/m³
- Symmetry: Fm-3m

abc: 4.3444 4.3444 4.3444
angles: 60.00 60.00 60.00
Sites, in units of the cell vectors:
1 Ru 0.2500 0.2500 0.2500
2 Ru 0.7500 0.7500 0.7500
3 Cu 0.0000 0.0000 0.0000
4 Br 0.5000 0.5000 0.5000